Density functional theory data (PBE) for crystalline Bi3BF at its relaxed geometry.

Computed properties:
- Space-group type: Pm-3m
- Magnetic moment: 0.00 μB per cell
- E_tot: -18.4 eV per cell
- E_form (uncorrected): 1.78 eV per formula unit

```
data_Bi3BF
_cell_length_a 5.0271
_cell_length_b 5.0271
_cell_length_c 5.0271
_cell_angle_alpha 90.00
_cell_angle_beta 90.00
_cell_angle_gamma 90.00
_symmetry_space_group_name_H-M 'P 1'
_symmetry_Int_Tables_number 1
loop_
_symmetry_equiv_pos_as_xyz
'x,y,z'
loop_
_atom_site_label
_atom_site_type_symbol
_atom_site_fract_x
_atom_site_fract_y
_atom_site_fract_z
_atom_site_occupancy
B1 B 0.0000 0.0000 0.0000 1
Bi1 Bi 0.0000 0.5000 0.0000 1
Bi2 Bi 0.0000 0.0000 0.5000 1
Bi3 Bi 0.5000 0.0000 0.0000 1
F1 F 0.5000 0.5000 0.5000 1
```